Run P
The following is a GGA-PBE calculation of crystalline CeHo2Mn at its relaxed geometry, from the Alexandria database.

Calculated values
Volume ... 26.29 Å³/atom

Lattice parameters (Å, degrees): 4.6958 4.6958 4.7698 90.00 90.00 90.00
Last column: nearest neighbours and their distance in Å.
Space group P4/mmm (No. 123)
Asymmetric unit:
Ce1 0.0000 0.0000 0.0000  4 Mn 3.32, 8 Ho 3.35
Ho1 0.0000 0.5000 0.5000  4 Ho 3.32, 4 Mn 3.35, 4 Ce 3.35
Mn1 0.5000 0.5000 0.0000  4 Ce 3.32, 8 Ho 3.35



Run Q
The following is a GGA-PBE calculation of crystalline CeHo2Mn at its relaxed geometry, from the Alexandria database.

Calculated values
Volume ... 26.21 Å³/atom

Lattice parameters (Å, degrees): 3.4555 3.4555 8.7817 90.00 90.00 90.00
Last column: nearest neighbours and their distance in Å.
Space group P4/mmm (No. 123)
Asymmetric unit:
Ce1 0.0000 0.0000 0.0000  4 Ce 3.46, 8 Ho 3.60
Ho1 0.5000 0.5000 0.3015  4 Mn 3.00
Mn1 0.0000 0.0000 0.5000  8 Ho 3.00



Relative energies, in meV per atom, with the most stable structure set to zero: run P 101; run Q 0.



Run P
The following is a GGA-PBE calculation of crystalline CeHoN at its relaxed geometry, from the Alexandria database.

Calculated values
Volume ... 20.16 Å³/atom

Lattice parameters (Å, degrees): 8.9394 9.4094 11.5063 90.00 90.00 90.00
Last column: nearest neighbours and their distance in Å.
Space group Fddd (No. 70, origin choice 2)
Asymmetric unit:
Ce1 0.1250 0.1250 0.2553  4 N 2.45-2.66
Ho1 0.0000 0.0000 0.5000  2 N 2.42
N1 0.1250 0.3310 0.1250  2 Ho 2.42, 4 Ce 2.45-2.66



Run Q
The following is a GGA-PBE calculation of crystalline CeHoN at its relaxed geometry, from the Alexandria database.

Calculated values
Volume ... 21.63 Å³/atom

Lattice parameters (Å, degrees): 3.4616 3.4616 6.2531 90.00 90.00 120.00
Last column: nearest neighbours and their distance in Å.
Space group P3m1 (No. 156)
Asymmetric unit:
Ce1 0.0000 0.0000 0.0000  3 N 2.48
Ho1 0.6667 0.3333 0.5607  3 N 2.37
N1 0.3333 0.6667 0.7646  3 Ho 2.37, 3 Ce 2.48



Relative energies, in meV per atom, with the most stable structure set to zero: run P 276; run Q 0.



Run P
The following is a GGA-PBE calculation of crystalline Ce2HoN at its relaxed geometry, from the Alexandria database.

Calculated values
Volume ... 21.72 Å³/atom

Lattice parameters (Å, degrees): 3.1265 3.1265 8.8894 90.00 90.00 90.00
Last column: nearest neighbours and their distance in Å.
Space group P4/mmm (No. 123)
Asymmetric unit:
Ce1 0.0000 0.0000 0.1601  4 N 2.63, 1 Ce 2.85
Ho1 0.5000 0.5000 0.5000  4 Ho 3.13
N1 0.5000 0.5000 0.0000  8 Ce 2.63



Run Q
The following is a GGA-PBE calculation of crystalline Ce2HoN at its relaxed geometry, from the Alexandria database.

Calculated values
Volume ... 24.50 Å³/atom

Lattice parameters (Å, degrees): 3.4945 3.4945 27.8012 90.00 90.00 120.00
Last column: nearest neighbours and their distance in Å.
Space group R-3m (No. 166, hexagonal axes)
Asymmetric unit:
Ce1 0.0000 0.0000 0.2176  3 N 2.47
Ho1 0.0000 0.0000 0.0000  6 Ho 3.49, 6 Ce 3.80
N1 0.0000 0.0000 0.5000  6 Ce 2.47



Relative energies, in meV per atom, with the most stable structure set to zero: run P 322; run Q 0.



Run P
The following is a GGA-PBE calculation of crystalline CeHo2N at its relaxed geometry, from the Alexandria database.

Calculated values
Volume ... 21.06 Å³/atom

Lattice parameters (Å, degrees): 3.1209 3.1209 8.6501 90.00 90.00 90.00
Last column: nearest neighbours and their distance in Å.
Space group P4/mmm (No. 123)
Asymmetric unit:
Ce1 0.0000 0.0000 0.0000  4 Ce 3.12
Ho1 0.5000 0.5000 0.3372  4 N 2.62, 1 Ho 2.82
N1 0.0000 0.0000 0.5000  8 Ho 2.62



Run Q
The following is a GGA-PBE calculation of crystalline CeHo2N at its relaxed geometry, from the Alexandria database.

Calculated values
Volume ... 23.31 Å³/atom

Lattice parameters (Å, degrees): 3.3683 3.3683 28.4704 90.00 90.00 120.00
Last column: nearest neighbours and their distance in Å.
Space group R-3m (No. 166, hexagonal axes)
Asymmetric unit:
Ce1 0.0000 0.0000 0.0000  6 Ce 3.37, 2 Ho 3.39
Ho1 0.0000 0.0000 0.1192  3 N 2.37
N1 0.0000 0.0000 0.5000  6 Ho 2.37



Relative energies, in meV per atom, with the most stable structure set to zero: run P 486; run Q 0.



Run P
The following is a GGA-PBE calculation of crystalline CeNdHo at its relaxed geometry, from the Alexandria database.

Calculated values
Volume ... 34.06 Å³/atom

Lattice parameters (Å, degrees): 8.4652 8.4652 5.7034 90.00 90.00 90.00
Last column: nearest neighbours and their distance in Å.
Space group P4_2/mmc (No. 131)
Asymmetric unit:
Ce1 0.0000 0.3437 0.0000  1 Ce 2.65
Nd1 0.2776 0.5000 0.5000  2 Ho 3.56, 5 Nd 3.77-3.90, 4 Ce 3.93
Ho1 0.0000 0.1837 0.5000  1 Ho 3.11, 4 Ce 3.16-3.30



Run Q
The following is a GGA-PBE calculation of crystalline CeNdHo at its relaxed geometry, from the Alexandria database.

Calculated values
Volume ... 31.67 Å³/atom

Lattice parameters (Å, degrees): 3.5442 3.5442 8.7351 90.00 90.00 120.00
Last column: nearest neighbours and their distance in Å.
Space group P3m1 (No. 156)
Asymmetric unit:
Ce1 0.0000 0.0000 0.0000  3 Ho 3.48, 6 Ce 3.54, 3 Nd 3.55
Nd1 0.6667 0.3333 0.3324  6 Nd 3.54, 3 Ce 3.55, 3 Ho 3.65
Ho1 0.3333 0.6667 0.6778  3 Ce 3.48, 6 Ho 3.54, 3 Nd 3.65



Relative energies, in meV per atom, with the most stable structure set to zero: run P 257; run Q 0.



Run P
The following is a GGA-PBE calculation of crystalline CeNd2Ho at its relaxed geometry, from the Alexandria database.

Calculated values
Volume ... 32.89 Å³/atom

Lattice parameters (Å, degrees): 5.0932 5.0932 5.0711 90.00 90.00 90.00
Last column: nearest neighbours and their distance in Å.
Space group P4/mmm (No. 123)
Asymmetric unit:
Ce1 0.0000 0.0000 0.0000  8 Nd 3.59, 4 Ho 3.60
Nd1 0.0000 0.5000 0.5000  4 Ho 3.59, 4 Ce 3.59, 4 Nd 3.60
Ho1 0.5000 0.5000 0.0000  8 Nd 3.59, 4 Ce 3.60



Run Q
The following is a GGA-PBE calculation of crystalline CeNd2Ho at its relaxed geometry, from the Alexandria database.

Calculated values
Volume ... 32.74 Å³/atom

Lattice parameters (Å, degrees): 3.4735 3.4735 37.5986 90.00 90.00 120.00
Last column: nearest neighbours and their distance in Å.
Space group R-3m (No. 166, hexagonal axes)
Asymmetric unit:
Ce1 0.0000 0.0000 0.0000  2 Nd 3.32, 6 Ce 3.47
Nd1 0.0000 0.0000 0.0882  1 Ce 3.32, 6 Nd 3.47, 3 Ho 3.57
Ho1 0.0000 0.0000 0.5000  6 Ho 3.47, 6 Nd 3.57



Relative energies, in meV per atom, with the most stable structure set to zero: run P 0; run Q 110.